Record 1
The following is a DFT calculation (GGA-PBE) of a relaxed structure of DyGa2Ni4Ge. Values from VASP.

Cell and atoms, written as Quantum ESPRESSO input:
```
&SYSTEM
  ibrav = 0, nat = 8, ntyp = 4
/
ATOMIC_SPECIES
Dy 162.50 Dy.upf
Ga 69.72 Ga.upf
Ni 58.69 Ni.upf
Ge 72.64 Ge.upf
ATOMIC_POSITIONS crystal
Dy 0.0000 0.0000 0.0000
Ga 0.2489 0.2489 0.2489
Ga 0.7511 0.7511 0.7511
Ni 0.1347 0.1347 0.1347
Ni 0.4061 0.4061 0.4061
Ni 0.5939 0.5939 0.5939
Ni 0.8653 0.8653 0.8653
Ge 0.5000 0.5000 0.5000
CELL_PARAMETERS angstrom
2.0366 1.1759 8.2300
-2.0366 1.1759 8.2300
0.0000 -2.3517 8.2300
```

**Crystal system**: trigonal
**Space-group type**: R-3m, No. 166
**N(E_F)**: 5.89 states/eV per cell
**Formation enthalpy at 0 K**: -0.42 eV per atom
**Size of the total moment**: 0.00 μB per formula unit

Record 2
The following is a DFT calculation (GGA-PBE) of a relaxed structure of Dy2GaNi4Ge3. Values from VASP.

Cell and atoms, written as Quantum ESPRESSO input:
```
&SYSTEM
  ibrav = 0, nat = 10, ntyp = 4
/
ATOMIC_SPECIES
Dy 162.50 Dy.upf
Ga 69.72 Ga.upf
Ni 58.69 Ni.upf
Ge 72.64 Ge.upf
ATOMIC_POSITIONS crystal
Dy 0.0000 0.5000 0.2486
Dy 0.5000 0.0000 0.7514
Ga 0.0000 0.0000 0.5000
Ni 0.0000 0.0000 0.0000
Ni 0.0000 0.5000 0.6331
Ni 0.5000 0.0000 0.3669
Ni 0.5000 0.5000 0.0000
Ge 0.0000 0.5000 0.8714
Ge 0.5000 0.0000 0.1286
Ge 0.5000 0.5000 0.5000
CELL_PARAMETERS angstrom
4.0583 0.0000 0.0000
0.0000 4.0583 0.0000
0.0000 0.0000 9.7779
```

**Crystal system**: tetragonal
**Space-group type**: P-4m2, No. 115
**N(E_F)**: 6.15 states/eV per cell
**Formation enthalpy at 0 K**: -0.69 eV per atom
**Size of the total moment**: 0.00 μB per formula unit